Here is a relaxed LiAl2Rh crystal from Alexandria via LeMat-Bulk. Energies are from PBE.

**SG**: No. 166
**Size of the total moment**: 0.00 μB per formula unit
**Calculated total energy**: -4.563 eV per atom
**Energy of formation from the pure elements**: -0.375 eV/atom

abc: 2.891 2.891 26.042
angles: 90.00 90.00 120.00
Atoms (fractional coordinates):
1 Li 0.000 0.000 0.000
2 Li 0.333 0.667 0.667
3 Li 0.667 0.333 0.333
4 Al 0.000 0.000 0.242
5 Al 0.000 0.000 0.758
6 Al 0.333 0.667 0.425
7 Al 0.333 0.667 0.908
8 Al 0.667 0.333 0.092
9 Al 0.667 0.333 0.575
10 Rh 0.000 0.000 0.500
11 Rh 0.333 0.667 0.167
12 Rh 0.667 0.333 0.833